Here is a relaxed structure of Y3PPb from the Alexandria database. Energies are from PBE-GGA.

Unit cell a=3.7488 b=7.9578 c=14.7676 alpha=90.00 beta=90.00 gamma=90.00
With the nearest neighbours (Å) after each atom.
Space group Amm2 (No. 38)
Unique sites:
Y 0.0000 0.0000 0.0000  1 P 2.80
Y 0.5000 0.2380 0.8278  2 P 2.68
P 0.0000 0.0000 0.8107  5 Y 2.68-2.80
Pb 0.5000 0.0000 0.1735  4 Y 3.09-3.18

Summary:
Crystal system: orthorhombic
E_form (kcal/mol of atoms): -3.5
DFT total energy (eV per formula unit): -29.3
Spin magnetization (μB/atom): 0.3133